(1)
The following is a GGA-PBE calculation of a relaxed MgSiB2 crystal, from Alexandria. Values from VASP.

```
&SYSTEM
  ibrav = 0, nat = 8, ntyp = 3
/
ATOMIC_SPECIES
B 10.81 B.upf
Mg 24.30 Mg.upf
Si 28.09 Si.upf
CELL_PARAMETERS angstrom
-1.698 0.445 -3.035
4.089 -0.657 -0.609
-1.172 -7.221 0.262
ATOMIC_POSITIONS crystal
B 0.601 0.610 0.523
Mg 0.886 0.212 0.416
Mg 0.323 0.324 0.971
B 0.524 0.627 0.296
Si 0.050 0.734 0.166
B 0.024 0.737 0.884
Si 0.573 0.896 0.747
B 0.747 0.440 0.703
```

## Properties
The polymorph energy (0 for the lowest one) comes out at 0.021 eV/atom. As for the space-group type: P1.


(2)
The following is a GGA-PBE calculation of a relaxed Na2CeSn3Se6 crystal, from Alexandria. Values from VASP.

```
&SYSTEM
  ibrav = 0, nat = 12, ntyp = 4
/
ATOMIC_SPECIES
Se 78.96 Se.upf
Na 22.99 Na.upf
Sn 118.71 Sn.upf
Ce 140.12 Ce.upf
CELL_PARAMETERS angstrom
-4.993 -4.204 3.348
0.937 -0.509 -7.257
6.220 -3.497 2.259
ATOMIC_POSITIONS crystal
Se 0.918 0.606 0.758
Se 0.231 0.231 0.745
Se 0.394 0.082 0.242
Se 0.606 0.918 0.758
Na 0.332 0.668 0.000
Sn 0.836 0.164 0.500
Na 0.668 0.332 0.000
Sn 0.500 0.500 0.500
Ce 0.000 0.000 0.000
Se 0.082 0.394 0.242
Sn 0.164 0.836 0.500
Se 0.769 0.769 0.255
```

## Properties
As for the space-group type: C2/m.


| no. | raw formation energy (eV per atom) | total magnetic moment (μB/cell) |
| --- | --- | --- |
| 1 | 0.138 | 0.0 |
| 2 | -0.937 | 0.1 |